Entry 1:
Hg2TeIr PBE-GGA relaxed; DFT total energy = -0.107 Ha/atom
1.0
-3.8008 -3.7480 -5.6705
-0.6724 -5.7689 -5.1881
-1.4237 -1.4491 3.1625
Hg Ir Te
2 1 1
Cartesian
-5.5460 -10.3128 -7.2361
-3.2995 -6.1361 -4.3080
-4.4227 -8.2245 -5.7721
-1.4742 -2.7415 -1.9240

***

Entry 2:
Hg2TeIr PBE-GGA relaxed; DFT total energy = -0.098 Ha/atom
1.0
-0.8441 2.0325 2.2186
-2.1217 -2.0359 1.0578
6.6135 -3.7837 5.9827
Hg Ir Te
2 1 1
Cartesian
0.4307 -0.2464 0.3896
2.8761 -1.6455 2.6018
0.1704 -0.9477 3.1338
3.4772 -2.8395 6.1252

***

Entry 3:
Hg2TeIr PBE-GGA relaxed; DFT total energy = -0.099 Ha/atom
1.0
5.9989 -0.0102 0.0269
-3.2266 5.0573 0.0269
1.3826 2.5170 2.9480
Hg Ir Te
2 1 1
Cartesian
0.0000 0.0000 0.0000
1.3861 2.5236 0.0269
3.6907 1.2534 1.4875
-0.9220 3.7871 1.4875

***

Entry 4:
Hg2TeIr PBE-GGA relaxed; DFT total energy = -0.107 Ha/atom
1.0
-0.6158 -2.4624 -1.7891
0.8570 -2.1123 2.6122
-8.4856 0.0627 2.8346
Hg Ir Te
2 1 1
Cartesian
-0.1682 0.0012 0.0562
-2.3183 -2.2693 1.2263
-4.4227 0.0327 1.4774
-5.5780 -2.2452 2.3152

***

Entry 5:
Hg2TeIr PBE-GGA relaxed; DFT total energy = -0.094 Ha/atom
1.0
5.2340 -0.0077 0.0000
1.3500 5.0569 0.0000
-3.2920 -2.5246 3.1912
Hg Ir Te
2 1 1
Cartesian
0.0000 0.0000 0.0000
0.6750 2.5284 1.5956
3.2920 2.5246 0.0000
2.6170 -0.0038 1.5956

***

Entry 6:
HgTe2Ir PBE-GGA relaxed; DFT total energy = -0.119 Ha/atom
1.0
5.2471 0.0000 0.0000
0.0000 5.2471 0.0000
0.0000 0.0000 3.2582
Hg Ir Te
1 1 2
Cartesian
2.6235 0.0000 1.6291
0.0000 2.6235 1.6291
0.0000 0.0000 0.0000
2.6235 2.6235 0.0000

***

Raw formation energy for every record listed, in sequence, given in eV/atom: 0.23; 0.48; 0.45; 0.23; 0.58; 0.62.